Record 1
Ac3Al2Ge3 | PBE | relaxed

```
Ac3Al2Ge3
1.0
2.237 -6.100 0.000
2.237 6.100 0.000
0.000 0.000 15.453
Ac Al Ge
6 4 6
Cartesian
2.237 5.336 9.426 Ac
2.237 5.336 13.754 Ac
2.237 1.776 11.590 Ac
2.237 -1.776 3.863 Ac
2.237 -5.336 1.699 Ac
2.237 -5.336 6.027 Ac
2.237 3.328 1.527 Al
2.237 3.328 6.200 Al
2.237 -3.328 9.253 Al
2.237 -3.328 13.926 Al
2.237 1.771 3.863 Ge
2.237 1.695 8.385 Ge
2.237 1.695 14.794 Ge
2.237 -1.695 0.659 Ge
2.237 -1.695 7.067 Ge
2.237 -1.771 11.590 Ge
```

Results
- ΔE to the lowest computed polymorph (meV per atom) = 0.0
- symmetry = Cmcm
- formation energy (eV/f.u.) = -4.6
- total magnetization (Bohr magnetons per cell) = 0.0
- Fermi-level density of states (states/eV per cell) = 8.75

=====

Record 2
Sc4Zn2Ir | PBE | relaxed

```
Sc4Zn2Ir
1.0
2.317 1.338 7.508
-2.317 1.338 7.508
0.000 -2.676 7.508
Sc Zn Ir
4 2 1
Cartesian
0.000 0.000 2.783 Sc
0.000 0.000 8.444 Sc
0.000 0.000 14.080 Sc
0.000 0.000 19.741 Sc
0.000 0.000 5.588 Zn
0.000 0.000 16.937 Zn
0.000 0.000 11.262 Ir
```

Results
- symmetry = R-3m
- formation energy (eV/f.u.) = -2.9
- total magnetization (Bohr magnetons per cell) = 0.0
- Fermi-level density of states (states/eV per cell) = 6.47

=====

Record order is preserved below.
Volume: 421.7 139.7 Å³ per cell